Record 1
DFT (PBE-GGA) results for a relaxed BaGa2Pd8 crystal.

abc: 5.4076 5.4076 8.6437
angles: 90.00 90.00 90.00
Last column: nearest neighbours and their distance in Å.
Positions (direct):
1 Ba 0.5000 0.5000 0.5000  8 Pd 3.27
2 Ga 0.5000 0.0000 0.0000  8 Pd 2.55
3 Ga 0.0000 0.5000 0.0000  8 Pd 2.55
4 Pd 0.7519 0.7519 0.1950  2 Ga 2.55, 4 Pd 2.68-2.72
5 Pd 0.7519 0.2481 0.8050  2 Ga 2.55, 4 Pd 2.68-2.72
6 Pd 0.7519 0.7519 0.8050  2 Ga 2.55, 4 Pd 2.68-2.72
7 Pd 0.7519 0.2481 0.1950  2 Ga 2.55, 4 Pd 2.68-2.72
8 Pd 0.2481 0.7519 0.1950  2 Ga 2.55, 4 Pd 2.68-2.72
9 Pd 0.2481 0.7519 0.8050  2 Ga 2.55, 4 Pd 2.68-2.72
10 Pd 0.2481 0.2481 0.1950  2 Ga 2.55, 4 Pd 2.68-2.72
11 Pd 0.2481 0.2481 0.8050  2 Ga 2.55, 4 Pd 2.68-2.72

density of states at the Fermi level: 6.66 states/eV/cell
DFT total energy: -4.6421 eV/atom
energy of formation from the pure elements: -0.1404 eV/atom

Record 2
DFT (PBE-GGA) results for a relaxed BaGaPd2 crystal.

abc: 5.2553 5.2553 9.1106
angles: 73.24 73.24 90.00
Last column: nearest neighbours and their distance in Å.
Positions (direct):
1 Ga 0.5000 0.5000 0.0000  4 Pd 2.46
2 Ga 0.2500 0.7500 0.5000  4 Pd 2.46
3 Ba 0.0000 0.0000 0.0000  8 Pd 3.54-3.66, 4 Ga 3.72
4 Ba 0.7500 0.2500 0.5000  8 Pd 3.54-3.66, 4 Ga 3.72
5 Pd 0.3918 0.1250 0.2500  2 Ga 2.46, 2 Pd 2.63
6 Pd 0.3582 0.6250 0.2500  2 Ga 2.46, 2 Pd 2.63
7 Pd 0.3750 0.6082 0.7500  2 Ga 2.46, 2 Pd 2.63
8 Pd 0.8750 0.6418 0.7500  2 Ga 2.46, 2 Pd 2.63

density of states at the Fermi level: 2.77 states/eV/cell
DFT total energy: -4.3350 eV/atom
energy of formation from the pure elements: -0.5012 eV/atom

Record 3
DFT (PBE-GGA) results for a relaxed BaGa2Pd4 crystal.

abc: 4.0583 8.0991 8.0991
angles: 90.00 90.00 90.00
Last column: nearest neighbours and their distance in Å.
Positions (direct):
1 Ba 0.5000 0.0000 0.0000  6 Ga 3.13-3.30, 8 Pd 3.49
2 Ba 0.0000 0.5000 0.5000  6 Ga 3.13-3.30, 8 Pd 3.49
3 Ga 0.0000 0.2270 0.7730  6 Pd 2.60-2.69
4 Ga 0.0000 0.7730 0.2270  6 Pd 2.60-2.69
5 Ga 0.5000 0.7270 0.7270  6 Pd 2.60-2.69
6 Ga 0.5000 0.2730 0.2730  6 Pd 2.60-2.69
7 Pd 0.0000 0.0846 0.3406  3 Ga 2.60-2.69, 4 Pd 2.90
8 Pd 0.0000 0.9154 0.6594  3 Ga 2.60-2.69, 4 Pd 2.90
9 Pd 0.5000 0.1594 0.5846  3 Ga 2.60-2.69, 4 Pd 2.90
10 Pd 0.5000 0.8406 0.4154  3 Ga 2.60-2.69, 4 Pd 2.90
11 Pd 0.5000 0.4154 0.8406  3 Ga 2.60-2.69, 4 Pd 2.90
12 Pd 0.5000 0.5846 0.1594  3 Ga 2.60-2.69, 4 Pd 2.90
13 Pd 0.0000 0.3406 0.0846  3 Ga 2.60-2.69, 4 Pd 2.90
14 Pd 0.0000 0.6594 0.9154  3 Ga 2.60-2.69, 4 Pd 2.90

density of states at the Fermi level: 3.53 states/eV/cell
DFT total energy: -4.7125 eV/atom
energy of formation from the pure elements: -0.6057 eV/atom

Record 4
DFT (PBE-GGA) results for a relaxed Ba3Ga4Pd2 crystal.

abc: 4.4536 4.4536 30.0665
angles: 90.00 90.00 120.00
Last column: nearest neighbours and their distance in Å.
Positions (direct):
1 Ba 0.3333 0.6667 0.2413  6 Pd 3.41, 6 Ga 3.68-3.70
2 Ba 0.3333 0.6667 0.5796  9 Ga 3.55-3.67, 3 Pd 3.56
3 Ba 0.3333 0.6667 0.9164  3 Pd 3.53, 9 Ga 3.54-3.69
4 Ba 0.3333 0.6667 0.0920  6 Pd 3.41, 6 Ga 3.68-3.70
5 Ba 0.3333 0.6667 0.4170  3 Pd 3.53, 9 Ga 3.54-3.69
6 Ba 0.3333 0.6667 0.7538  9 Ga 3.55-3.67, 3 Pd 3.56
7 Ga 0.6667 0.3333 0.4980  3 Pd 2.57
8 Ga 0.6667 0.3333 0.8353  3 Pd 2.57
9 Ga 0.6667 0.3333 0.0036  3 Ga 2.57
10 Ga 0.6667 0.3333 0.3298  3 Ga 2.57
11 Ga 0.6667 0.3333 0.6667  3 Ga 2.57
12 Ga 0.0000 0.0000 0.3290  3 Ga 2.57
13 Ga 0.0000 0.0000 0.6666  3 Ga 2.57
14 Ga 0.0000 0.0000 0.0043  3 Ga 2.57
15 Pd 0.0000 0.0000 0.1667  3 Pd 2.57
16 Pd 0.0000 0.0000 0.4976  3 Ga 2.57
17 Pd 0.0000 0.0000 0.8358  3 Ga 2.57
18 Pd 0.6667 0.3333 0.1667  3 Pd 2.57

density of states at the Fermi level: 13.14 states/eV/cell
DFT total energy: -3.6511 eV/atom
E above lowest polymorph: 0 meV per atom
energy of formation from the pure elements: -0.5110 eV/atom

Record 5
DFT (PBE-GGA) results for a relaxed Ba3Ga2Pd3 crystal.

abc: 6.7287 8.4070 15.7860
angles: 90.00 90.00 90.00
Last column: nearest neighbours and their distance in Å.
Positions (direct):
1 Ba 0.1490 0.4940 0.3928  4 Pd 3.14-3.50, 1 Ga 3.47
2 Ba 0.6490 0.0060 0.6072  4 Pd 3.14-3.50, 1 Ga 3.47
3 Ba 0.8510 0.5060 0.8928  4 Pd 3.14-3.50, 1 Ga 3.47
4 Ba 0.3510 0.9940 0.1072  4 Pd 3.14-3.50, 1 Ga 3.47
5 Ba 0.8510 0.5060 0.6072  4 Pd 3.14-3.50, 1 Ga 3.47
6 Ba 0.3510 0.9940 0.3928  4 Pd 3.14-3.50, 1 Ga 3.47
7 Ba 0.1490 0.4940 0.1072  4 Pd 3.14-3.50, 1 Ga 3.47
8 Ba 0.6490 0.0060 0.8928  4 Pd 3.14-3.50, 1 Ga 3.47
9 Ba 0.6189 0.3513 0.2500  4 Pd 3.12-3.30, 2 Ga 3.48
10 Ba 0.1189 0.1487 0.7500  4 Pd 3.12-3.30, 2 Ga 3.48
11 Ba 0.3811 0.6487 0.7500  4 Pd 3.12-3.30, 2 Ga 3.48
12 Ba 0.8811 0.8513 0.2500  4 Pd 3.12-3.30, 2 Ga 3.48
13 Ga 0.8661 0.1509 0.4111  4 Pd 2.58-2.84
14 Ga 0.3661 0.3491 0.5889  4 Pd 2.58-2.84
15 Ga 0.1339 0.8491 0.9111  4 Pd 2.58-2.84
16 Ga 0.6339 0.6509 0.0889  4 Pd 2.58-2.84
17 Ga 0.1339 0.8491 0.5889  4 Pd 2.58-2.84
18 Ga 0.6339 0.6509 0.4111  4 Pd 2.58-2.84
19 Ga 0.8661 0.1509 0.0889  4 Pd 2.58-2.84
20 Ga 0.3661 0.3491 0.9111  4 Pd 2.58-2.84
21 Pd 0.0458 0.1987 0.2500  2 Ga 2.84, 2 Ba 3.12-3.15
22 Pd 0.5458 0.3013 0.7500  2 Ga 2.84, 2 Ba 3.12-3.15
23 Pd 0.9542 0.8013 0.7500  2 Ga 2.84, 2 Ba 3.12-3.15
24 Pd 0.4542 0.6987 0.2500  2 Ga 2.84, 2 Ba 3.12-3.15
25 Pd 0.6033 0.3548 0.4590  3 Ga 2.58-2.61
26 Pd 0.1033 0.1452 0.5410  3 Ga 2.58-2.61
27 Pd 0.3967 0.6452 0.9590  3 Ga 2.58-2.61
28 Pd 0.8967 0.8548 0.0410  3 Ga 2.58-2.61
29 Pd 0.3967 0.6452 0.5410  3 Ga 2.58-2.61
30 Pd 0.8967 0.8548 0.4590  3 Ga 2.58-2.61
31 Pd 0.6033 0.3548 0.0410  3 Ga 2.58-2.61
32 Pd 0.1033 0.1452 0.9590  3 Ga 2.58-2.61

density of states at the Fermi level: 18.07 states/eV/cell
DFT total energy: -4.0415 eV/atom
E above lowest polymorph: 0 meV per atom
energy of formation from the pure elements: -0.6164 eV/atom

Record 6
DFT (PBE-GGA) results for a relaxed Ba3Ga3Pd2 crystal.

abc: 4.4312 6.5268 16.7504
angles: 90.00 90.00 109.84
Last column: nearest neighbours and their distance in Å.
Positions (direct):
1 Ba 0.9455 0.8911 0.3961  3 Pd 3.40-3.56, 7 Ga 3.47-3.80, 1 Ba 3.73
2 Ba 0.0545 0.1089 0.8961  3 Pd 3.40-3.56, 7 Ga 3.47-3.80, 1 Ba 3.73
3 Ba 0.9455 0.8911 0.1039  3 Pd 3.40-3.56, 7 Ga 3.47-3.80, 1 Ba 3.73
4 Ba 0.0545 0.1089 0.6039  3 Pd 3.40-3.56, 7 Ga 3.47-3.80, 1 Ba 3.73
5 Ba 0.6502 0.3004 0.2500  4 Ga 3.29-3.61, 4 Pd 3.40
6 Ba 0.3498 0.6996 0.7500  4 Ga 3.29-3.61, 4 Pd 3.40
7 Ga 0.6785 0.3570 0.4645  3 Pd 2.63-2.65
8 Ga 0.3215 0.6430 0.9645  3 Pd 2.63-2.65
9 Ga 0.6785 0.3570 0.0355  3 Pd 2.63-2.65
10 Ga 0.3215 0.6430 0.5355  3 Pd 2.63-2.65
11 Ga 0.3486 0.6973 0.2500  2 Pd 2.73
12 Ga 0.6514 0.3027 0.7500  2 Pd 2.73
13 Pd 0.7645 0.5291 0.8906  4 Ga 2.63-2.73
14 Pd 0.2355 0.4709 0.3906  4 Ga 2.63-2.73
15 Pd 0.7645 0.5291 0.6094  4 Ga 2.63-2.73
16 Pd 0.2355 0.4709 0.1094  4 Ga 2.63-2.73

density of states at the Fermi level: 12.57 states/eV/cell
DFT total energy: -3.6904 eV/atom
E above lowest polymorph: 0 meV per atom
energy of formation from the pure elements: -0.5361 eV/atom